Si2IrAu after structural relaxation. Source: Alexandria, functional PBE.

## Properties
space-group type	No. 216
M_tot	0.00	μB/atom
energy above the lowest structure with this stoichiometry	0.6492	eV per atom
ΔE_f (raw)	1.75	eV per formula unit

The structure in CIF format:
```
data_Si2IrAu
_chemical_formula_sum 'Si8 Ir4 Au4'
_cell_length_a 6.3085
_cell_length_b 6.3085
_cell_length_c 6.3085
_cell_angle_alpha 90.00
_cell_angle_beta 90.00
_cell_angle_gamma 90.00
_symmetry_space_group_name_H-M 'P 1'
_symmetry_Int_Tables_number 1
_symmetry_space_group_name_Hall 'P 1'
loop_
_atom_site_label
_atom_site_type_symbol
_atom_site_fract_x
_atom_site_fract_y
_atom_site_fract_z
_atom_site_occupancy
Si1 Si 0.0000 0.0000 0.0000 1
Si2 Si 0.0000 0.5000 0.5000 1
Si3 Si 0.2500 0.2500 0.2500 1
Si4 Si 0.2500 0.7500 0.7500 1
Si5 Si 0.5000 0.0000 0.5000 1
Si6 Si 0.5000 0.5000 0.0000 1
Si7 Si 0.7500 0.2500 0.7500 1
Si8 Si 0.7500 0.7500 0.2500 1
Ir1 Ir 0.0000 0.0000 0.5000 1
Ir2 Ir 0.0000 0.5000 0.0000 1
Ir3 Ir 0.5000 0.0000 0.0000 1
Ir4 Ir 0.5000 0.5000 0.5000 1
Au1 Au 0.2500 0.2500 0.7500 1
Au2 Au 0.2500 0.7500 0.2500 1
Au3 Au 0.7500 0.2500 0.2500 1
Au4 Au 0.7500 0.7500 0.7500 1
```



K4Ag3PdF12 after structural relaxation. Source: Alexandria, functional PBE.

## Properties
space-group type	No. 229
M_tot	0.00	μB/atom
ΔE_f (raw)	-38.04	eV per formula unit

The structure in CIF format:
```
data_K4Ag3PdF12
_chemical_formula_sum 'K4 Ag3 Pd1 F12'
_cell_length_a 7.6319
_cell_length_b 7.6319
_cell_length_c 7.6319
_cell_angle_alpha 109.47
_cell_angle_beta 109.47
_cell_angle_gamma 109.47
_symmetry_space_group_name_H-M 'P 1'
_symmetry_Int_Tables_number 1
_symmetry_space_group_name_Hall 'P 1'
loop_
_atom_site_label
_atom_site_type_symbol
_atom_site_fract_x
_atom_site_fract_y
_atom_site_fract_z
_atom_site_occupancy
K1 K 0.0000 0.0000 0.5000 1
K2 K 0.0000 0.5000 0.0000 1
K3 K 0.5000 0.0000 0.0000 1
K4 K 0.5000 0.5000 0.5000 1
Ag1 Ag 0.0000 0.5000 0.5000 1
Ag2 Ag 0.5000 0.0000 0.5000 1
Ag3 Ag 0.5000 0.5000 0.0000 1
Pd1 Pd 0.0000 0.0000 0.0000 1
F1 F 0.0000 0.2299 0.2299 1
F2 F 0.0000 0.7701 0.7701 1
F3 F 0.2299 0.0000 0.2299 1
F4 F 0.2299 0.2299 0.0000 1
F5 F 0.2500 0.5000 0.7500 1
F6 F 0.2500 0.7500 0.5000 1
F7 F 0.5000 0.2500 0.7500 1
F8 F 0.5000 0.7500 0.2500 1
F9 F 0.7500 0.2500 0.5000 1
F10 F 0.7500 0.5000 0.2500 1
F11 F 0.7701 0.0000 0.7701 1
F12 F 0.7701 0.7701 0.0000 1
```